Li3MnOF4 | GGA+U | relaxed

**Crystal system**: monoclinic
**E_tot**: -5.4196 eV per atom
**SG**: No. 8

Lattice parameters (Å, degrees): 5.284 5.284 6.743 126.84 126.84 41.53
Sites, in units of the cell vectors:
Li: 0.000 0.000 0.000
Li: 0.360 0.360 0.137
Li: 0.619 0.619 0.757
Mn: 0.819 0.819 0.433
O: 0.354 0.354 0.430
F: 0.094 0.094 0.810
F: 0.547 0.547 0.113
F: 0.766 0.766 0.668
F: 0.854 0.854 0.153